(1)
First-principles (GGA-PBE) data for crystalline CeSn3Au3 at its relaxed geometry, as listed in Alexandria via LeMat-Bulk.

Cell: 8.6512 4.9027 9.1264 Å, 90.00 118.12 90.00°
Sites, in units of the cell vectors:
Ce1 0.1580 0.2500 0.3225
Ce2 0.8420 0.7500 0.6775
Sn1 0.2376 0.2500 0.7547
Sn2 0.2748 0.7500 0.0419
Sn3 0.4714 0.7500 0.7351
Sn4 0.5286 0.2500 0.2649
Sn5 0.7252 0.2500 0.9581
Sn6 0.7624 0.7500 0.2453
Au1 0.0343 0.2500 0.9213
Au2 0.1065 0.7500 0.5182
Au3 0.4111 0.7500 0.4001
Au4 0.5889 0.2500 0.5999
Au5 0.8935 0.2500 0.4818
Au6 0.9657 0.7500 0.0787

Summary:
Fermi-level density of states: 1.293 states/eV per atom
Raw total energy: -0.1592 Ha/atom
Volume: 24.4 A^3/atom
ΔE to the lowest computed polymorph: 0.000 eV/atom


(2)
First-principles (GGA-PBE) data for crystalline Ce7SnAu4 at its relaxed geometry, as listed in Alexandria via LeMat-Bulk.

Cell: 7.7576 7.7576 9.0205 Å, 121.05 121.05 44.49°
Sites, in units of the cell vectors:
Ce1 0.0000 0.0000 0.0000
Ce2 0.2329 0.2329 0.7057
Ce3 0.2962 0.2962 0.0793
Ce4 0.4524 0.4524 0.5987
Ce5 0.5476 0.5476 0.4013
Ce6 0.7038 0.7038 0.9207
Ce7 0.7671 0.7671 0.2943
Sn1 0.5000 0.5000 0.0000
Au1 0.0301 0.0301 0.6987
Au2 0.2046 0.2046 0.3537
Au3 0.7954 0.7954 0.6463
Au4 0.9699 0.9699 0.3013

Summary:
Fermi-level density of states: 2.630 states/eV per atom
Raw total energy: -0.1938 Ha/atom
Volume: 26.3 A^3/atom


(3)
First-principles (GGA-PBE) data for crystalline Ce3SnAu2 at its relaxed geometry, as listed in Alexandria via LeMat-Bulk.

Cell: 7.2542 7.2542 4.6110 Å, 90.00 90.00 143.19°
Sites, in units of the cell vectors:
Ce1 0.0000 0.0000 0.0000
Ce2 0.1743 0.8257 0.5000
Ce3 0.8257 0.1743 0.5000
Sn1 0.5000 0.5000 0.5000
Au1 0.3338 0.6662 0.0000
Au2 0.6662 0.3338 0.0000

Summary:
Fermi-level density of states: 2.604 states/eV per atom
Raw total energy: -0.1940 Ha/atom
Volume: 24.2 A^3/atom


Which formula does entry 1 have?
CeSn3Au3


Number 1 is which compound?
CeSn3Au3